Rb2InAsF6: relaxed, GGA-PBE.

Summary:
V   20.35 A^3/atom
Raw formation energy   -2.29 eV per atom
DOS(E_F)   0.000 states/eV per cell

abc: 9.3371 9.3371 9.3371
angles: 90.00 90.00 90.00
With the nearest neighbours (Å) after each atom.
Space group Fm-3m (No. 225)
Symmetry-distinct sites (fractional):
Rb: 0.2500 0.2500 0.2500 x8  12 F 3.31
In: 0.0000 0.0000 0.0000 x4  6 F 2.59
As: 0.0000 0.0000 0.5000 x4  6 F 2.08
F: 0.0000 0.0000 0.2775 x24  1 As 2.08